Entry 1:
Entry from Alexandria: a geometry-optimized Na2Ti2Br7 structure (PBE-GGA).

extended XYZ file:
```
11
Lattice="3.944 -6.560 0.000 3.944 6.560 0.000 -0.954 0.000 7.065" Properties=species:S:1:pos:R:3 pbc="T T T"
Na 3.944 3.729 0.000
Na 3.944 -3.729 0.000
Ti 0.837 0.000 4.167
Ti 6.097 0.000 2.898
Br 1.195 2.272 5.233
Br 0.513 0.000 1.712
Br 1.195 -2.272 5.233
Br 3.467 0.000 3.533
Br 5.739 2.272 1.832
Br 6.421 0.000 5.354
Br 5.739 -2.272 1.832
```

Output
Uncorrected formation energy in meV/atom: -1194
Calculated volume in Å³ per atom: 33.240
Symmetry: No. 12

Entry 2:
Entry from Alexandria: a geometry-optimized Sc4PdPbO structure (PBE-GGA).

extended XYZ file:
```
14
Lattice="3.072 -7.317 0.000 3.072 7.317 0.000 0.000 0.000 6.145" Properties=species:S:1:pos:R:3 pbc="T T T"
Sc 1.536 3.658 0.000
Sc 1.536 3.658 3.073
Sc 3.072 6.418 4.609
Sc 3.072 1.326 4.609
Sc 1.536 -3.658 0.000
Sc 1.536 -3.658 3.073
Sc 3.072 -1.326 1.536
Sc 3.072 -6.418 1.536
Pd 3.072 5.568 1.536
Pd 3.072 -5.568 4.609
Pb 3.072 1.558 1.536
Pb 3.072 -1.558 4.609
O 3.072 3.573 4.609
O 3.072 -3.573 1.536
```

Output
Uncorrected formation energy in meV/atom: -1202
Calculated volume in Å³ per atom: 19.731
Symmetry: No. 63

Entry 3:
Entry from Alexandria: a geometry-optimized TaSiW structure (PBE-GGA).

extended XYZ file:
```
18
Lattice="11.981 0.000 0.000 0.000 3.372 0.000 0.000 0.000 6.931" Properties=species:S:1:pos:R:3 pbc="T T T"
Ta 0.585 0.000 1.636
Ta 2.995 0.000 5.762
Ta 5.405 0.000 1.636
Ta 6.576 0.000 5.295
Ta 8.986 0.000 1.169
Ta 11.396 0.000 5.295
Si 1.124 1.686 6.490
Si 2.995 0.000 3.066
Si 4.867 1.686 6.490
Si 7.115 1.686 0.441
Si 8.986 0.000 3.865
Si 10.857 1.686 0.441
W 1.383 1.686 3.930
W 2.995 1.686 1.272
W 4.608 1.686 3.930
W 7.373 1.686 3.001
W 8.986 1.686 5.659
W 10.599 1.686 3.001
```

Output
Uncorrected formation energy in meV/atom: -353
Calculated volume in Å³ per atom: 15.559
Symmetry: No. 51

Entry 4:
Entry from Alexandria: a geometry-optimized CsKNa2Hg structure (PBE-GGA).

extended XYZ file:
```
5
Lattice="6.261 0.000 0.000 0.000 6.261 0.000 0.000 0.000 7.014" Properties=species:S:1:pos:R:3 pbc="T T T"
Cs 0.000 0.000 0.000
K 3.130 3.130 0.000
Na 0.000 3.130 3.507
Na 3.130 0.000 3.507
Hg 0.000 0.000 3.507
```

Output
Calculated volume in Å³ per atom: 54.987
Symmetry: No. 123
Formation energy from the elements in eV per atom: -0.03
Energy above the most stable polymorph in this dataset in meV/atom: 41.6

Entry 5:
Entry from Alexandria: a geometry-optimized Tb2InSn2 structure (PBE-GGA).

extended XYZ file:
```
20
Lattice="7.850 0.000 0.000 0.000 7.850 0.000 0.000 0.000 8.864" Properties=species:S:1:pos:R:3 pbc="T T T"
Tb 1.363 2.560 0.000
Tb 1.365 2.562 4.432
Tb 2.560 6.487 0.000
Tb 2.562 6.485 4.432
Tb 5.290 1.363 0.000
Tb 5.288 1.365 4.432
Tb 6.487 5.290 0.000
Tb 6.485 5.288 4.432
In 0.000 0.000 2.220
In 0.000 0.000 6.645
In 3.925 3.925 2.213
In 3.925 3.925 6.652
Sn 1.024 4.949 2.216
Sn 1.024 4.949 6.648
Sn 2.901 1.024 2.216
Sn 2.901 1.024 6.648
Sn 4.949 6.826 2.216
Sn 4.949 6.826 6.648
Sn 6.826 2.901 2.216
Sn 6.826 2.901 6.648
```

Output
Calculated volume in Å³ per atom: 27.312
Symmetry: No. 128
Formation energy from the elements in eV per atom: -0.57

Entry 6:
Entry from Alexandria: a geometry-optimized RbTbP2Pd4 structure (PBE-GGA).

extended XYZ file:
```
8
Lattice="4.152 0.000 0.000 0.000 4.152 0.000 0.000 0.000 10.667" Properties=species:S:1:pos:R:3 pbc="T T T"
Rb 0.000 0.000 0.000
Tb 0.000 0.000 5.334
P 2.076 2.076 2.188
P 2.076 2.076 8.480
Pd 0.000 2.076 3.268
Pd 0.000 2.076 7.400
Pd 2.076 0.000 3.268
Pd 2.076 0.000 7.400
```

Output
Calculated volume in Å³ per atom: 22.990
Symmetry: No. 123
Formation energy from the elements in eV per atom: -0.59

Entry 7:
Entry from Alexandria: a geometry-optimized SrDyTcN3 structure (PBE-GGA).

extended XYZ file:
```
12
Lattice="6.459 0.000 0.000 0.000 3.499 0.000 -2.424 0.000 8.960" Properties=species:S:1:pos:R:3 pbc="T T T"
Sr 0.637 0.875 1.704
Sr 3.397 2.624 7.256
Dy 0.193 0.875 7.717
Dy 3.842 2.624 1.243
Tc -0.508 2.624 5.172
Tc 4.543 0.875 3.788
N -1.531 0.875 5.841
N 1.826 2.624 0.092
N 0.992 2.624 6.121
N 3.043 0.875 2.839
N 2.209 0.875 8.868
N 5.565 2.624 3.119
```

Output
Uncorrected formation energy in meV/atom: -769
Calculated volume in Å³ per atom: 16.875
Symmetry: No. 11

Entry 8:
Entry from Alexandria: a geometry-optimized K2AlTlSb structure (PBE-GGA).

extended XYZ file:
```
5
Lattice="6.502 0.000 0.000 0.000 6.502 0.000 0.000 0.000 5.723" Properties=species:S:1:pos:R:3 pbc="T T T"
K 0.000 3.251 0.000
K 3.251 0.000 0.000
Al 0.000 0.000 2.862
Tl 3.251 3.251 0.000
Sb 3.251 3.251 2.862
```

Output
Uncorrected formation energy in meV/atom: 441
Calculated volume in Å³ per atom: 48.387
Symmetry: No. 123

Entry 9:
Entry from Alexandria: a geometry-optimized Ac8Pm4Sm structure (PBE-GGA).

extended XYZ file:
```
13
Lattice="6.075 -2.754 0.000 6.075 2.754 0.000 -1.145 0.000 15.817" Properties=species:S:1:pos:R:3 pbc="T T T"
Ac 0.079 0.000 6.105
Ac 1.259 0.000 14.634
Ac 2.435 0.000 10.907
Ac 4.901 0.000 3.611
Ac 6.103 0.000 12.205
Ac 8.569 0.000 4.909
Ac 9.745 0.000 1.183
Ac 10.925 0.000 9.711
Pm 1.225 0.000 2.412
Pm 3.710 0.000 7.323
Pm 7.294 0.000 8.494
Pm 9.779 0.000 13.405
Sm 6.075 0.000 0.000
```

Output
Calculated volume in Å³ per atom: 40.707
Symmetry: No. 12
Formation energy from the elements in eV per atom: 0.04

Entry 10:
Entry from Alexandria: a geometry-optimized GaH3W structure (PBE-GGA).

extended XYZ file:
```
5
Lattice="3.552 0.000 0.000 0.000 3.552 0.000 0.000 0.000 3.552" Properties=species:S:1:pos:R:3 pbc="T T T"
Ga 0.000 0.000 0.000
H 0.000 1.776 1.776
H 1.776 0.000 1.776
H 1.776 1.776 0.000
W 1.776 1.776 1.776
```

Output
Calculated volume in Å³ per atom: 8.966
Symmetry: No. 221
Energy above the most stable polymorph in this dataset in meV/atom: 0.0

Which of these has the highest calculated volume? CsKNa2Hg

The lowest calculated volume belongs to which entry? GaH3W